First-principles (PBE) data for an optimized crystal structure of LiCd2SnO4, as listed in the Alexandria database.

Values from the calculation:
The space-group type is No. 82. For the total moment, the calculation gives 0.000 μB/atom. As for the formation energy without anion corrections: -1314 meV/atom. For the total energy, the calculation gives -38.089 eV/f.u.

Cell lengths 5.0403, 5.0403, 9.7261 Å; angles 90.00, 90.00, 90.00 degrees
Last column: nearest neighbours and their distance in Å.
Fractional positions:
1 Li 0.0000 0.0000 0.0000  4 O 2.06
2 Li 0.5000 0.5000 0.5000  4 O 2.06
3 Cd 0.0000 0.0000 0.5000  4 O 2.27
4 Cd 0.0000 0.5000 0.2500  4 O 2.28
5 Cd 0.5000 0.0000 0.7500  4 O 2.28
6 Cd 0.5000 0.5000 0.0000  4 O 2.27
7 Sn 0.0000 0.5000 0.7500  4 O 2.04
8 Sn 0.5000 0.0000 0.2500  4 O 2.04
9 O 0.2117 0.7474 0.8743  1 Sn 2.04, 1 Li 2.06, 2 Cd 2.27-2.28
10 O 0.2474 0.2883 0.6257  1 Sn 2.04, 1 Li 2.06, 2 Cd 2.27-2.28
11 O 0.2526 0.2117 0.1257  1 Sn 2.04, 1 Li 2.06, 2 Cd 2.27-2.28
12 O 0.2883 0.7526 0.3743  1 Sn 2.04, 1 Li 2.06, 2 Cd 2.27-2.28
13 O 0.7117 0.2474 0.3743  1 Sn 2.04, 1 Li 2.06, 2 Cd 2.27-2.28
14 O 0.7474 0.7883 0.1257  1 Sn 2.04, 1 Li 2.06, 2 Cd 2.27-2.28
15 O 0.7526 0.7117 0.6257  1 Sn 2.04, 1 Li 2.06, 2 Cd 2.27-2.28
16 O 0.7883 0.2526 0.8743  1 Sn 2.04, 1 Li 2.06, 2 Cd 2.27-2.28



First-principles (PBE) data for an optimized crystal structure of Sr2LiCdO, as listed in the Alexandria database.

Values from the calculation:
The space-group type is No. 123. For the total moment, the calculation gives 0.000 μB/atom. As for the formation energy without anion corrections: -1098 meV/atom. For the total energy, the calculation gives -16.642 eV/f.u.

Cell lengths 5.3520, 5.3520, 4.2126 Å; angles 90.00, 90.00, 90.00 degrees
Last column: nearest neighbours and their distance in Å.
Fractional positions:
1 Sr 0.0000 0.5000 0.0000  2 O 2.68
2 Sr 0.5000 0.0000 0.0000  2 O 2.68
3 Li 0.0000 0.0000 0.5000  2 O 2.11
4 Cd 0.5000 0.5000 0.5000  8 Sr 3.41, 4 Li 3.78
5 O 0.0000 0.0000 0.0000  2 Li 2.11



First-principles (PBE) data for an optimized crystal structure of Sr2Li2CdO4, as listed in the Alexandria database.

Values from the calculation:
The space-group type is No. 12. For the total moment, the calculation gives 0.000 μB/atom. As for the formation energy without anion corrections: -1964 meV/atom. For the total energy, the calculation gives -45.615 eV/f.u.

Cell lengths 6.5850, 6.5850, 5.9233 Å; angles 107.42, 107.42, 29.35 degrees
Last column: nearest neighbours and their distance in Å.
Fractional positions:
1 Sr 0.1331 0.1331 0.0539  7 O 2.56-2.83
2 Sr 0.8669 0.8669 0.9461  7 O 2.56-2.83
3 Li 0.3222 0.3222 0.4853  4 O 2.02-2.14
4 Li 0.6778 0.6778 0.5147  4 O 2.02-2.14
5 Cd 0.0000 0.0000 0.5000  4 O 2.31
6 O 0.2212 0.2212 0.7148  3 Li 2.02-2.14
7 O 0.4718 0.4718 0.7451  1 Li 2.05
8 O 0.5282 0.5282 0.2549  1 Li 2.05
9 O 0.7788 0.7788 0.2852  3 Li 2.02-2.14



First-principles (PBE) data for an optimized crystal structure of SrLiCdO2, as listed in the Alexandria database.

Values from the calculation:
The space-group type is No. 123. For the total moment, the calculation gives 0.000 μB/atom. As for the formation energy without anion corrections: -749 meV/atom. For the total energy, the calculation gives -18.174 eV/f.u.

Cell lengths 4.3510, 4.3510, 4.1342 Å; angles 90.00, 90.00, 90.00 degrees
Last column: nearest neighbours and their distance in Å.
Fractional positions:
1 Sr 0.0000 0.0000 0.0000  8 O 3.00, 4 Cd 3.08
2 Li 0.5000 0.5000 0.5000  2 Cd 2.07, 4 O 2.18
3 Cd 0.5000 0.5000 0.0000  2 Li 2.07
4 O 0.0000 0.5000 0.5000  2 Li 2.18
5 O 0.5000 0.0000 0.5000  2 Li 2.18



| no. | calculated density (kg/m³) |
| --- | --- |
| 1 | 5571 |
| 2 | 4274 |
| 3 | 5071 |
| 4 | 5070 |